[1]
{"formula": "Na2SnPt", "functional": "PBE-GGA", "state": "optimized geometry", "cell": [[11.013, 0.000, 0.000], [0.000, 11.013, 0.000], [5.506, 5.506, 2.525]], "species": ["Na", "Na", "Na", "Na", "Sn", "Sn", "Pt", "Pt"], "fractional_positions": [[0.829, 0.125, 0.250], [0.921, 0.625, 0.250], [0.375, 0.171, 0.750], [0.875, 0.079, 0.750], [0.500, 0.500, 0.000], [0.250, 0.750, 0.500], [0.000, 0.000, 0.000], [0.750, 0.250, 0.500]], "formation_enthalpy_0k_mev_per_atom": -117, "dft_energy_ev_per_atom": -3.288, "dos_at_fermi_per_ev_cell": 4.8, "magmom_total_mub_per_cell": 0.00}

***

[2]
{"formula": "Na2Sn4Pt5", "functional": "PBE-GGA", "state": "optimized geometry", "cell": [[5.697, 0.000, 0.000], [2.848, 5.070, 0.000], [2.848, 0.000, 8.485]], "species": ["Na", "Na", "Sn", "Sn", "Sn", "Sn", "Pt", "Pt", "Pt", "Pt", "Pt"], "fractional_positions": [[0.904, 0.000, 0.191], [0.096, 0.000, 0.809], [0.469, 0.320, 0.742], [0.531, 0.680, 0.258], [0.211, 0.320, 0.258], [0.789, 0.680, 0.742], [0.500, 0.000, 0.000], [0.000, 0.500, 0.000], [0.500, 0.500, 0.000], [0.250, 0.500, 0.500], [0.750, 0.500, 0.500]], "formation_enthalpy_0k_mev_per_atom": -426, "dft_energy_ev_per_atom": -4.867, "dos_at_fermi_per_ev_cell": 3.7, "magmom_total_mub_per_cell": 0.00}

***

[3]
{"formula": "NaSn4Pt", "functional": "PBE-GGA", "state": "optimized geometry", "cell": [[4.427, 0.000, 0.000], [2.214, 3.825, 0.220], [2.214, 0.720, 9.843]], "species": ["Na", "Sn", "Sn", "Sn", "Sn", "Pt"], "fractional_positions": [[0.500, 0.500, 0.500], [0.627, 0.627, 0.120], [0.373, 0.373, 0.880], [0.095, 0.096, 0.713], [0.905, 0.904, 0.287], [0.000, 0.000, 0.000]], "formation_enthalpy_0k_mev_per_atom": -247, "dft_energy_ev_per_atom": -4.142, "dos_at_fermi_per_ev_cell": 2.1, "magmom_total_mub_per_cell": 0.00}

***

[4]
{"formula": "NaSn2Pt", "functional": "PBE-GGA", "state": "optimized geometry", "cell": [[-3.364, -2.693, 0.665], [0.014, -3.985, -1.770], [2.581, -5.190, 6.337]], "species": ["Na", "Sn", "Sn", "Pt"], "fractional_positions": [[0.000, 0.000, 0.000], [0.124, 0.124, 0.627], [0.876, 0.876, 0.373], [0.500, 0.500, 0.500]], "formation_enthalpy_0k_mev_per_atom": -227, "dft_energy_ev_per_atom": -4.069, "dos_at_fermi_per_ev_cell": 2.2, "magmom_total_mub_per_cell": 0.00}

***

[5]
{"formula": "Na3Sn2Pt4", "functional": "PBE-GGA", "state": "optimized geometry", "cell": [[4.462, 0.000, 0.000], [-2.231, 5.315, 0.199], [0.000, -1.988, 8.602]], "species": ["Na", "Na", "Na", "Sn", "Sn", "Pt", "Pt", "Pt", "Pt"], "fractional_positions": [[0.376, 0.752, 0.616], [0.000, 0.000, 0.000], [0.624, 0.248, 0.384], [0.314, 0.629, 0.235], [0.686, 0.371, 0.765], [0.736, 0.472, 0.086], [0.085, 0.170, 0.626], [0.915, 0.830, 0.374], [0.264, 0.528, 0.914]], "formation_enthalpy_0k_mev_per_atom": -347, "dft_energy_ev_per_atom": -4.361, "dos_at_fermi_per_ev_cell": 4.1, "magmom_total_mub_per_cell": 0.00}

***

[6]
{"formula": "Na3Sn2Pt2", "functional": "PBE-GGA", "state": "optimized geometry", "cell": [[6.107, 0.000, 0.000], [0.000, 8.115, 0.000], [0.000, 0.000, 13.951]], "species": ["Na", "Na", "Na", "Na", "Na", "Na", "Na", "Na", "Na", "Na", "Na", "Na", "Sn", "Sn", "Sn", "Sn", "Sn", "Sn", "Sn", "Sn", "Pt", "Pt", "Pt", "Pt", "Pt", "Pt", "Pt", "Pt"], "fractional_positions": [[0.136, 0.609, 0.092], [0.864, 0.391, 0.592], [0.864, 0.109, 0.408], [0.136, 0.891, 0.908], [0.864, 0.391, 0.908], [0.136, 0.609, 0.408], [0.136, 0.891, 0.592], [0.864, 0.109, 0.092], [0.377, 0.266, 0.250], [0.623, 0.734, 0.750], [0.623, 0.766, 0.250], [0.377, 0.234, 0.750], [0.398, 0.250, 0.000], [0.602, 0.750, 0.500], [0.602, 0.750, 0.000], [0.398, 0.250, 0.500], [0.866, 0.412, 0.250], [0.134, 0.588, 0.750], [0.134, 0.912, 0.250], [0.866, 0.088, 0.750], [0.642, 0.470, 0.094], [0.358, 0.530, 0.594], [0.358, 0.970, 0.406], [0.642, 0.030, 0.906], [0.358, 0.530, 0.906], [0.642, 0.470, 0.406], [0.642, 0.030, 0.594], [0.358, 0.970, 0.094]], "formation_enthalpy_0k_mev_per_atom": -403, "dft_energy_ev_per_atom": -3.838, "dos_at_fermi_per_ev_cell": 14.4, "magmom_total_mub_per_cell": 0.00}